#one
Here is a geometry-optimized Y2CuHIr structure from Alexandria. Energies are from GGA-PBE.

Results
- Density: 5.9 g cm⁻³
- M_tot: 0.00 Bohr magnetons per cell
- Symmetry: No. 123

a = 5.2248 Å, b = 4.4890 Å, c = 5.2248 Å
α = 90.00°, β = 90.00°, γ = 90.00°
Fractional positions:
1 Ir 0.0000 0.5000 0.0000
2 Cu 0.0000 0.0000 0.0000
3 H 0.5000 0.5000 0.5000
4 Y 0.5000 0.0000 0.0000
5 Y 0.0000 0.0000 0.5000



#two
Here is a geometry-optimized Y2CuHIr structure from Alexandria. Energies are from GGA-PBE.

Results
- Density: 8.6 g cm⁻³
- M_tot: 0.00 Bohr magnetons per cell
- Symmetry: No. 123

a = 4.8810 Å, b = 4.8810 Å, c = 3.5265 Å
α = 90.00°, β = 90.00°, γ = 90.00°
Fractional positions:
1 Y 0.0000 0.5000 0.0000
2 H 0.0000 0.0000 0.0000
3 Ir 0.5000 0.5000 0.5000
4 Y 0.5000 0.0000 0.0000
5 Cu 0.0000 0.0000 0.5000



#three
Here is a geometry-optimized Y2CuHIr structure from Alexandria. Energies are from GGA-PBE.

Results
- Density: 8.3 g cm⁻³
- M_tot: 0.00 Bohr magnetons per cell
- Symmetry: No. 123

a = 4.9463 Å, b = 4.9463 Å, c = 3.5632 Å
α = 90.00°, β = 90.00°, γ = 90.00°
Fractional positions:
1 Y 0.0000 0.5000 0.0000
2 Y 0.5000 0.0000 0.0000
3 Ir 0.0000 0.0000 0.5000
4 H 0.0000 0.0000 0.0000
5 Cu 0.5000 0.5000 0.5000



Verdict on stability: #one comes out at the bottom.



#one
Here is a geometry-optimized KCuH structure from Alexandria. Energies are from GGA-PBE.

Results
- Density: 2.1 g cm⁻³
- M_tot: 0.00 Bohr magnetons per cell
- Symmetry: No. 145

a = 6.3344 Å, b = 6.3344 Å, c = 7.0767 Å
α = 90.00°, β = 90.00°, γ = 120.00°
Fractional positions:
1 H 0.4690 0.3060 0.1713
2 K 0.6656 0.8472 0.1687
3 K 0.1816 0.3344 0.5021
4 Cu 0.6797 0.3171 0.6599
5 K 0.1528 0.8184 0.8354
6 Cu 0.6829 0.3626 0.3266
7 H 0.8370 0.5310 0.5047
8 Cu 0.6374 0.3203 0.9933
9 H 0.6940 0.1630 0.8380



#two
Here is a geometry-optimized KCuH structure from Alexandria. Energies are from GGA-PBE.

Results
- Density: 2.8 g cm⁻³
- M_tot: 0.00 Bohr magnetons per cell
- Symmetry: No. 1

a = 4.2917 Å, b = 5.2526 Å, c = 6.4299 Å
α = 110.92°, β = 92.37°, γ = 112.73°
Fractional positions:
1 Cu 0.3321 0.2042 0.6033
2 H 0.5213 0.5717 0.5998
3 K 0.1150 0.7342 0.8971
4 K 0.9173 0.4008 0.2911
5 H 0.5875 0.1790 0.7985
6 Cu 0.7121 0.9412 0.6030



Verdict on stability: #one comes out at the bottom.